NbOsRuSeS | GGA-PBE | relaxed

abc: 5.448 3.412 9.012
angles: 90.00 99.25 90.00
Element x y z (fractional)
Ru1 0.113 0.500 0.199
Ru2 0.113 0.000 0.699
S1 0.357 0.500 0.829
S2 0.357 0.000 0.329
Nb1 0.396 0.500 0.535
Nb2 0.396 0.000 0.035
Se1 0.882 0.000 0.025
Se2 0.882 0.500 0.525
Os1 0.624 0.500 0.263
Os2 0.624 0.000 0.763

- Symmetry: Cm
- Total magnetization: 0.0 μB per cell

NbOsRuSeS | GGA-PBE | relaxed

abc: 5.662 3.075 9.799
angles: 90.00 101.14 90.00
Element x y z (fractional)
Se1 0.369 0.500 0.950
Se2 0.369 0.000 0.450
S1 0.104 0.000 0.158
S2 0.104 0.500 0.658
Ru1 0.738 0.000 0.018
Ru2 0.738 0.500 0.518
Os1 0.861 0.000 0.319
Os2 0.861 0.500 0.819
Nb1 0.482 0.500 0.242
Nb2 0.482 0.000 0.742

- Symmetry: Cm
- Total magnetization: 0.0 μB per cell

NbOsRuSeS | GGA-PBE | relaxed

abc: 3.399 4.372 11.475
angles: 90.00 90.00 90.00
Element x y z (fractional)
S1 0.500 0.500 0.516
S2 0.000 0.000 0.016
Os1 0.000 0.500 0.925
Os2 0.500 0.000 0.425
Ru1 0.500 0.000 0.884
Ru2 0.000 0.500 0.384
Nb1 0.000 0.000 0.249
Nb2 0.500 0.500 0.749
Se1 0.000 0.000 0.703
Se2 0.500 0.500 0.203

- Symmetry: Imm2
- Total magnetization: 0.0 μB per cell

NbOsRuSeS | GGA-PBE | relaxed

abc: 5.733 3.374 9.617
angles: 90.00 111.27 90.00
Element x y z (fractional)
S1 0.027 0.500 0.903
S2 0.027 0.000 0.403
Nb1 0.539 0.500 0.012
Nb2 0.539 0.000 0.512
Ru1 0.746 0.500 0.336
Ru2 0.746 0.000 0.836
Se1 0.362 0.000 0.195
Se2 0.362 0.500 0.695
Os1 0.879 0.000 0.145
Os2 0.879 0.500 0.645

- Symmetry: Cm
- Total magnetization: 0.0 μB per cell

NbOsRuSeS | GGA-PBE | relaxed

abc: 3.545 4.717 5.479
angles: 99.42 89.72 112.22
Element x y z (fractional)
Se1 0.890 0.825 0.126
Nb1 0.912 0.866 0.613
S1 0.616 0.272 0.623
Os1 0.239 0.522 0.869
Ru1 0.176 0.390 0.362

- Symmetry: P1
- Total magnetization: 0.0 μB per cell

NbOsRuSeS | GGA-PBE | relaxed

abc: 4.592 3.135 5.895
angles: 90.00 90.09 90.00
Element x y z (fractional)
S1 0.976 0.000 0.615
Os1 0.656 0.000 0.914
Se1 0.345 0.500 0.131
Ru1 0.849 0.500 0.328
Nb1 0.414 0.500 0.606

- Symmetry: Pm
- Total magnetization: 0.0 μB per cell

no.,polymorph energy (0 for the lowest one) (eV per atom),uncorrected energy (eV/cell)
1,0.178,-76.6
2,0.132,-77.1
3,0.014,-78.3
4,0.071,-77.7
5,0.157,-38.4
6,0.205,-38.2